Entry 1:
Density functional theory data (PBE) for an optimized crystal structure of NaSrY2Al.

Values from the calculation:
Energy of formation: 886 meV/atom
Total magnetization: 1.62 μB per formula unit

extended XYZ file:
```
5
Lattice="5.626 0.000 0.000 0.000 5.709 0.000 0.000 0.000 5.626" Properties=species:S:1:pos:R:3 pbc="T T T"
Y 2.813 0.000 0.000
Y 0.000 0.000 2.813
Sr 0.000 2.854 0.000
Na 0.000 0.000 0.000
Al 2.813 2.854 2.813
```

---

Entry 2:
Density functional theory data (PBE) for an optimized crystal structure of NaSr2AlZn.

Values from the calculation:
Energy of formation: 9 meV/atom
Total magnetization: 0.00 μB per formula unit

extended XYZ file:
```
5
Lattice="6.197 0.000 0.000 0.000 6.197 0.000 0.000 0.000 4.723" Properties=species:S:1:pos:R:3 pbc="T T T"
Sr 0.000 3.099 0.000
Sr 3.099 0.000 0.000
Al 0.000 0.000 2.361
Na 3.099 3.099 2.361
Zn 0.000 0.000 0.000
```

---

Look up the total magnetization of the first one. 1.62 μB per formula unit